No. 1
## Tc2HgP (SCAN)

Data for Tc2HgP at its PBEsol-relaxed geometry.

Total magnetic moment = 0.002 μB per cell
Space-group type = Cmmm (65)
Volume = 15.28 Å³/atom
Polymorph energy (0 for the lowest one) = 21.8 kJ per mole of atoms
E_form = 0.27 eV/atom

Cell: 2.8726 2.8726 8.2500 Å, 90.00 90.00 116.13°
Fractional coordinates of all 4 atoms:
Tc (0.0000, 0.0000, 0.2056)
Hg (0.5000, 0.5000, 0.5000)
P (0.5000, 0.5000, 0.0000)
Tc (0.0000, 0.0000, 0.7944)

***

No. 2
## TcHgP2 (SCAN)

Data for TcHgP2 at its PBEsol-relaxed geometry.

Total magnetic moment = 0.000 μB per cell
Space-group type = P4mm (99)
Volume = 17.86 Å³/atom
E_form = 0.10 eV/atom

Cell: 3.0287 3.0287 7.7890 Å, 90.00 90.00 90.00°
Fractional coordinates of all 4 atoms:
P (0.0000, 0.0000, 0.0152)
Hg (0.5000, 0.5000, 0.7577)
P (0.5000, 0.5000, 0.4292)
Tc (0.0000, 0.0000, 0.2979)

***

No. 3
## Tc2HgP (SCAN)

Data for Tc2HgP at its PBEsol-relaxed geometry.

Total magnetic moment = 0.004 μB per cell
Space-group type = Pmmm (47)
Volume = 15.39 Å³/atom
Polymorph energy (0 for the lowest one) = 73.2 kJ per mole of atoms
E_form = 0.80 eV/atom

Cell: 2.9998 4.3543 4.7125 Å, 90.00 90.00 90.00°
Fractional coordinates of all 4 atoms:
Tc (0.5000, 0.0000, 0.5000)
P (0.0000, 0.5000, 0.5000)
Tc (0.0000, 0.0000, 0.0000)
Hg (0.5000, 0.5000, 0.0000)

***

No. 4
## TcHgP2 (SCAN)

Data for TcHgP2 at its PBEsol-relaxed geometry.

Total magnetic moment = 0.001 μB per cell
Space-group type = P2/m (10)
Volume = 16.99 Å³/atom
E_form = 0.35 eV/atom

Cell: 3.3030 4.4548 4.6206 Å, 90.00 91.32 90.00°
Fractional coordinates of all 4 atoms:
Tc (0.5000, 0.5000, 0.0000)
Hg (0.0000, 0.5000, 0.5000)
P (0.7440, 0.0000, 0.8456)
P (0.2560, 0.0000, 0.1544)

***

No. 5
## Tc2HgP (SCAN)

Data for Tc2HgP at its PBEsol-relaxed geometry.

Total magnetic moment = 0.003 μB per cell
Space-group type = R-3m (166)
Volume = 16.57 Å³/atom
Polymorph energy (0 for the lowest one) = 0.0 kJ per mole of atoms
E_form = 0.05 eV/atom

Cell: 3.5522 3.5522 6.4032 Å, 73.90 73.90 60.00°
Fractional coordinates of all 4 atoms:
Hg (0.5000, 0.5000, 0.5000)
Tc (0.7218, 0.7218, 0.8347)
P (0.0000, 0.0000, 0.0000)
Tc (0.2782, 0.2782, 0.1653)

***

No. 6
## TcHgP2 (SCAN)

Data for TcHgP2 at its PBEsol-relaxed geometry.

Total magnetic moment = 0.613 μB per cell
Space-group type = Immm (71)
Volume = 17.69 Å³/atom
E_form = 0.34 eV/atom

Cell: 2.8189 4.8322 5.8996 Å, 114.18 103.82 90.00°
Last column: magnetic moment on the atom in μB.
Fractional coordinates of all 4 atoms:
P (0.1849, 0.1849, 0.3697)  0.02
P (0.8151, 0.8151, 0.6303)  0.02
Tc (0.5000, 0.0000, 0.0000)  0.48
Hg (0.0000, 0.5000, 0.0000)  0.01

***

No. 7
## Tc2HgP (SCAN)

Data for Tc2HgP at its PBEsol-relaxed geometry.

Total magnetic moment = 0.000 μB per cell
Space-group type = Fm-3m (225)
Volume = 14.56 Å³/atom
Polymorph energy (0 for the lowest one) = 46.2 kJ per mole of atoms
E_form = 0.52 eV/atom

Cell: 4.3512 4.3512 4.3512 Å, 60.00 60.00 60.00°
Fractional coordinates of all 4 atoms:
Hg (0.5000, 0.5000, 0.5000)
P (0.0000, 0.0000, 0.0000)
Tc (0.2500, 0.2500, 0.2500)
Tc (0.7500, 0.7500, 0.7500)

***

No. 8
## HgTeP2 (SCAN)

Data for HgTeP2 at its PBEsol-relaxed geometry.

Total magnetic moment = 0.000 μB per cell
Space-group type = Imm2 (44)
Volume = 22.14 Å³/atom
Polymorph energy (0 for the lowest one) = 11.1 kJ per mole of atoms
Raw formation energy = 0.29 eV/atom

Cell: 3.1812 4.1038 7.2634 Å, 106.41 102.65 90.00°
Fractional coordinates of all 4 atoms:
P (0.0763, 0.0763, 0.1526)
Hg (0.2922, 0.7922, 0.5845)
Te (0.4460, 0.4460, 0.8919)
P (0.6855, 0.1855, 0.3710)

***

No. 9
## HgTeP2 (SCAN)

Data for HgTeP2 at its PBEsol-relaxed geometry.

Total magnetic moment = 0.000 μB per cell
Space-group type = R3m (160)
Volume = 21.75 Å³/atom
Polymorph energy (0 for the lowest one) = 0.0 kJ per mole of atoms
Raw formation energy = 0.18 eV/atom

Cell: 3.2965 3.2965 9.4374 Å, 79.94 79.94 60.00°
Fractional coordinates of all 4 atoms:
Hg (0.2612, 0.2612, 0.2164)
Te (0.4881, 0.4881, 0.5356)
P (0.0200, 0.0200, 0.9401)
P (0.7307, 0.7307, 0.8079)

***

No. 10
## Hg2TeP (SCAN)

Data for Hg2TeP at its PBEsol-relaxed geometry.

Total magnetic moment = 0.000 μB per cell
Space-group type = I-42d (122)
Volume = 28.62 Å³/atom
Raw formation energy = 0.11 eV/atom

Cell: 6.1687 6.1687 7.4312 Å, 114.52 114.52 90.00°
Fractional coordinates of all 8 atoms:
Te (0.2500, 0.7500, 0.5000)
Hg (0.8235, 0.3750, 0.2500)
Hg (0.4265, 0.8750, 0.2500)
P (0.5000, 0.5000, 0.0000)
Hg (0.1250, 0.1765, 0.7500)
P (0.7500, 0.2500, 0.5000)
Hg (0.6250, 0.5735, 0.7500)
Te (0.0000, 0.0000, 0.0000)

***

No. 11
## HgTeP (SCAN)

Data for HgTeP at its PBEsol-relaxed geometry.

Total magnetic moment = 0.000 μB per cell
Space-group type = I4mm (107)
Volume = 27.29 Å³/atom
Polymorph energy (0 for the lowest one) = 0.0 kJ per mole of atoms
Raw formation energy = 0.26 eV/atom

Cell: 3.7399 3.7399 6.4236 Å, 106.92 106.92 90.00°
Fractional coordinates of all 3 atoms:
P (0.5629, 0.5629, 0.1258)
Te (0.3571, 0.3571, 0.7142)
Hg (0.0800, 0.0800, 0.1599)

***

No. 12
## HgTeP2 (SCAN)

Data for HgTeP2 at its PBEsol-relaxed geometry.

Total magnetic moment = 0.000 μB per cell
Space-group type = I-4m2 (119)
Volume = 21.50 Å³/atom
Polymorph energy (0 for the lowest one) = 52.1 kJ per mole of atoms
Raw formation energy = 0.72 eV/atom

Cell: 3.7886 3.7886 6.5643 Å, 106.77 106.77 90.00°
Fractional coordinates of all 4 atoms:
P (0.0000, 0.0000, 0.0000)
P (0.7500, 0.2500, 0.5000)
Te (0.5000, 0.5000, 0.0000)
Hg (0.2500, 0.7500, 0.5000)

***

No. 13
## HgTeP (SCAN)

Data for HgTeP at its PBEsol-relaxed geometry.

Total magnetic moment = 0.000 μB per cell
Space-group type = I4mm (107)
Volume = 24.81 Å³/atom
Polymorph energy (0 for the lowest one) = 8.1 kJ per mole of atoms
Raw formation energy = 0.34 eV/atom

Cell: 3.4780 3.4780 6.6273 Å, 105.21 105.21 90.00°
Fractional coordinates of all 3 atoms:
Hg (0.0078, 0.0078, 0.0155)
Te (0.2913, 0.2913, 0.5827)
P (0.7009, 0.7009, 0.4018)

***

No. 14
## Hg3TeP (SCAN)

Data for Hg3TeP at its PBEsol-relaxed geometry.

Total magnetic moment = 2.136 μB per cell
Space-group type = Pm-3m (221)
Volume = 33.62 Å³/atom
Raw formation energy = 0.76 eV/atom

Cell: 5.5189 5.5189 5.5189 Å, 90.00 90.00 90.00°
Last column: magnetic moment on the atom in μB.
Fractional coordinates of all 5 atoms:
Te (0.0000, 0.0000, 0.0000)  -0.01
P (0.5000, 0.5000, 0.5000)  0.92
Hg (0.5000, 0.0000, 0.0000)  0.01
Hg (0.0000, 0.5000, 0.0000)  0.01
Hg (0.0000, 0.0000, 0.5000)  0.01

***

No. 15
## TiHg3P (SCAN)

Data for TiHg3P at its PBEsol-relaxed geometry.

Total magnetic moment = 0.813 μB per cell
Space-group type = Pm-3m (221)
Volume = 27.88 Å³/atom
E_form = 0.87 eV/atom

Cell: 5.1851 5.1851 5.1851 Å, 90.00 90.00 90.00°
Last column: magnetic moment on the atom in μB.
Fractional coordinates of all 5 atoms:
Hg (0.5000, 0.0000, 0.0000)  -0.08
Ti (0.0000, 0.0000, 0.0000)  -1.74
Hg (0.0000, 0.5000, 0.0000)  -0.08
Hg (0.0000, 0.0000, 0.5000)  -0.08
P (0.5000, 0.5000, 0.5000)  0.82

***

No. 16
## TlHgP (SCAN)

Data for TlHgP at its PBEsol-relaxed geometry.

Total magnetic moment = 0.000 μB per cell
Space-group type = F-43m (216)
Volume = 25.29 Å³/atom
E_form = 0.56 eV/atom

Cell: 4.7519 4.7519 4.7519 Å, 60.00 60.00 60.00°
Fractional coordinates of all 3 atoms:
Hg (0.0000, 0.0000, 0.0000)
P (0.5000, 0.5000, 0.5000)
Tl (0.2500, 0.2500, 0.2500)

***

No. 17
## TlHgP2 (SCAN)

Data for TlHgP2 at its PBEsol-relaxed geometry.

Total magnetic moment = 0.000 μB per cell
Space-group type = R3m (160)
Volume = 21.69 Å³/atom
Polymorph energy (0 for the lowest one) = 0.0 kJ per mole of atoms
E_form = 0.04 eV/atom

Cell: 3.2924 3.2924 9.4347 Å, 79.95 79.95 60.00°
Fractional coordinates of all 4 atoms:
P (0.0165, 0.0165, 0.9506)
P (0.7277, 0.7277, 0.8168)
Tl (0.4958, 0.4958, 0.5126)
Hg (0.2600, 0.2600, 0.2201)

***

No. 18
## TlHgP2 (SCAN)

Data for TlHgP2 at its PBEsol-relaxed geometry.

Total magnetic moment = 0.000 μB per cell
Space-group type = I-42d (122)
Volume = 25.48 Å³/atom
Polymorph energy (0 for the lowest one) = 25.5 kJ per mole of atoms
E_form = 0.31 eV/atom

Cell: 5.8796 5.8796 7.2144 Å, 114.05 114.05 90.00°
Fractional coordinates of all 8 atoms:
P (0.1250, 0.1370, 0.7500)
Tl (0.2500, 0.7500, 0.5000)
Hg (0.5000, 0.5000, 0.0000)
Hg (0.7500, 0.2500, 0.5000)
P (0.3870, 0.8750, 0.2500)
P (0.6250, 0.6130, 0.7500)
P (0.8630, 0.3750, 0.2500)
Tl (0.0000, 0.0000, 0.0000)

***

No. 19
## Hg2PW (SCAN)

Data for Hg2PW at its PBEsol-relaxed geometry.

Total magnetic moment = 0.000 μB per cell
Space-group type = Imm2 (44)
Volume = 19.25 Å³/atom
E_form = 0.54 eV/atom

Cell: 3.0094 4.8178 6.0236 Å, 113.57 104.47 90.00°
Fractional coordinates of all 4 atoms:
Hg (0.9633, 0.9633, 0.9267)
Hg (0.7630, 0.2630, 0.5260)
W (0.2203, 0.7203, 0.4405)
P (0.5534, 0.5534, 0.1068)

***

No. 20
## YHgP2 (SCAN)

Data for YHgP2 at its PBEsol-relaxed geometry.

Total magnetic moment = 0.000 μB per cell
Space-group type = I4/mmm (139)
Volume = 19.16 Å³/atom
E_form = -0.33 eV/atom

Cell: 4.2414 4.2414 5.2091 Å, 114.02 114.02 90.00°
Fractional coordinates of all 4 atoms:
Y (0.0000, 0.0000, 0.0000)
Hg (0.5000, 0.5000, 0.0000)
P (0.7500, 0.2500, 0.5000)
P (0.2500, 0.7500, 0.5000)

***

No. 21
## Y2HgP (SCAN)

Data for Y2HgP at its PBEsol-relaxed geometry.

Total magnetic moment = 0.000 μB per cell
Space-group type = R-3m (166)
Volume = 24.41 Å³/atom
Polymorph energy (0 for the lowest one) = 0.0 kJ per mole of atoms
E_form = -1.23 eV/atom

Cell: 3.8851 3.8851 7.7986 Å, 75.58 75.58 60.00°
Fractional coordinates of all 4 atoms:
Hg (0.5000, 0.5000, 0.5000)
Y (0.2631, 0.2631, 0.2106)
P (0.0000, 0.0000, 0.0000)
Y (0.7369, 0.7369, 0.7894)

***

No. 22
## Y2HgP (SCAN)

Data for Y2HgP at its PBEsol-relaxed geometry.

Total magnetic moment = 0.000 μB per cell
Space-group type = Pmmm (47)
Volume = 22.02 Å³/atom
Polymorph energy (0 for the lowest one) = 32.7 kJ per mole of atoms
E_form = -0.90 eV/atom

Cell: 3.6702 4.8916 4.9057 Å, 90.00 90.00 90.00°
Fractional coordinates of all 4 atoms:
Hg (0.5000, 0.5000, 0.0000)
Y (0.0000, 0.5000, 0.5000)
Y (0.0000, 0.0000, 0.0000)
P (0.5000, 0.0000, 0.5000)

***

No. 23
## ZnHg2P (SCAN)

Data for ZnHg2P at its PBEsol-relaxed geometry.

Total magnetic moment = 0.000 μB per cell
Space-group type = P4/mmm (123)
Volume = 19.41 Å³/atom
E_form = 0.43 eV/atom

Cell: 3.8047 3.8047 5.3626 Å, 90.00 90.00 90.00°
Fractional coordinates of all 4 atoms:
Hg (0.0000, 0.0000, 0.2501)
Zn (0.5000, 0.5000, 0.5000)
Hg (0.0000, 0.0000, 0.7499)
P (0.5000, 0.5000, 0.0000)

***

No. 24
## ZnHgP (SCAN)

Data for ZnHgP at its PBEsol-relaxed geometry.

Total magnetic moment = 0.000 μB per cell
Space-group type = I4mm (107)
Volume = 17.94 Å³/atom
E_form = 0.42 eV/atom

Cell: 2.9392 2.9392 6.5677 Å, 102.93 102.93 90.00°
Fractional coordinates of all 3 atoms:
Hg (0.9891, 0.9891, 0.9782)
P (0.6938, 0.6938, 0.3875)
Zn (0.3172, 0.3172, 0.6343)

***

No. 25
## Zn2HgP (SCAN)

Data for Zn2HgP at its PBEsol-relaxed geometry.

Total magnetic moment = 0.000 μB per cell
Space-group type = P4mm (99)
Volume = 18.71 Å³/atom
E_form = 0.16 eV/atom

Cell: 3.4776 3.4776 6.1872 Å, 90.00 90.00 90.00°
Fractional coordinates of all 4 atoms:
Zn (0.5000, 0.5000, 0.2646)
Hg (0.0000, 0.0000, 0.4466)
P (0.5000, 0.5000, 0.8881)
Zn (0.0000, 0.0000, 0.9007)

***

No. 26
## Zn2HgP (SCAN)

Data for Zn2HgP at its PBEsol-relaxed geometry.

Total magnetic moment = 0.000 μB per cell
Space-group type = F-43m (216)
Volume = 17.30 Å³/atom
E_form = 0.49 eV/atom

Cell: 4.6087 4.6087 4.6087 Å, 60.00 60.00 60.00°
Fractional coordinates of all 4 atoms:
P (0.2500, 0.2500, 0.2500)
Hg (0.5000, 0.5000, 0.5000)
Zn (0.7500, 0.7500, 0.7500)
Zn (0.0000, 0.0000, 0.0000)

***

No. 27
## ZrHgP (SCAN)

Data for ZrHgP at its PBEsol-relaxed geometry.

Total magnetic moment = 0.000 μB per cell
Space-group type = P3m1 (156)
Volume = 21.16 Å³/atom
E_form = -0.40 eV/atom

Cell: 3.7679 3.7679 5.1623 Å, 90.00 90.00 120.00°
Fractional coordinates of all 3 atoms:
Zr (0.3333, 0.6667, 0.3883)
Hg (0.0000, 0.0000, 0.9761)
P (0.6667, 0.3333, 0.6356)

***

No. 28
## Zr2HgP (SCAN)

Data for Zr2HgP at its PBEsol-relaxed geometry.

Total magnetic moment = 0.000 μB per cell
Space-group type = P2/m (10)
Volume = 18.98 Å³/atom
Polymorph energy (0 for the lowest one) = 21.2 kJ per mole of atoms
E_form = -0.74 eV/atom

Cell: 3.0996 3.4580 7.1559 Å, 90.00 98.13 90.00°
Fractional coordinates of all 4 atoms:
Hg (0.5000, 0.5000, 0.0000)
Zr (0.0940, 0.0000, 0.2815)
Zr (0.9060, 0.0000, 0.7185)
P (0.5000, 0.5000, 0.5000)

***

No. 29
## Zr2HgP (SCAN)

Data for Zr2HgP at its PBEsol-relaxed geometry.

Total magnetic moment = 0.000 μB per cell
Space-group type = Fm-3m (225)
Volume = 18.61 Å³/atom
Polymorph energy (0 for the lowest one) = 46.3 kJ per mole of atoms
E_form = -0.48 eV/atom

Cell: 4.7221 4.7221 4.7221 Å, 60.00 60.00 60.00°
Fractional coordinates of all 4 atoms:
Zr (0.7500, 0.7500, 0.7500)
Hg (0.0000, 0.0000, 0.0000)
P (0.5000, 0.5000, 0.5000)
Zr (0.2500, 0.2500, 0.2500)

***

No. 30
## Zr2HgP (SCAN)

Data for Zr2HgP at its PBEsol-relaxed geometry.

Total magnetic moment = 0.000 μB per cell
Space-group type = C2/m (12)
Volume = 20.24 Å³/atom
Polymorph energy (0 for the lowest one) = 0.0 kJ per mole of atoms
E_form = -0.96 eV/atom

Cell: 3.5373 3.6208 7.4855 Å, 102.70 90.00 119.24°
Fractional coordinates of all 4 atoms:
Zr (0.2300, 0.4601, 0.2003)
P (0.5000, 0.0000, 0.0000)
Zr (0.7700, 0.5399, 0.7997)
Hg (0.0000, 0.0000, 0.5000)